[1]
YBeAs2Br GGA-PBE relaxed; size of the total moment = 0.00 μB/cell; electronic total energy = -4.53 eV/atom; crystal system = tetragonal; uncorrected formation energy = -145 kJ/mol of formula units; distance to the lowest polymorph of the same formula = 0.00 eV/f.u.
1.0
4.4601 0.0000 0.0000
0.0000 4.4601 0.0000
0.0000 0.0000 5.2901
Y Be As Br
1 1 2 1
Cartesian
0.0000 0.0000 0.0000 Y
2.2301 2.2301 2.6450 Be
0.0000 2.2301 2.6450 As
2.2301 0.0000 2.6450 As
2.2301 2.2301 0.0000 Br

=====

[2]
YBeAs2Br GGA-PBE relaxed; size of the total moment = 1.16 μB/cell; electronic total energy = -3.71 eV/atom; crystal system = tetragonal; uncorrected formation energy = 254 kJ/mol of formula units; distance to the lowest polymorph of the same formula = 4.14 eV/f.u.
1.0
5.5480 0.0000 0.0000
0.0000 5.5480 0.0000
0.0000 0.0000 5.4579
Y Be As Br
1 1 2 1
Cartesian
0.0000 0.0000 0.0000 Y
2.7740 2.7740 2.7289 Be
0.0000 2.7740 0.0000 As
2.7740 0.0000 0.0000 As
0.0000 0.0000 2.7289 Br

=====

[3]
ZrBeAs2Br GGA-PBE relaxed; size of the total moment = 0.37 μB/cell; electronic total energy = -4.45 eV/atom; crystal system = tetragonal; uncorrected formation energy = 96 kJ/mol of formula units; distance to the lowest polymorph of the same formula = 0.00 eV/f.u.
1.0
4.4504 0.0000 0.0000
0.0000 4.4504 0.0000
0.0000 0.0000 4.9499
Zr Be As Br
1 1 2 1
Cartesian
0.0000 0.0000 0.0000 Zr
2.2252 2.2252 2.4750 Be
0.0000 2.2252 2.4750 As
2.2252 0.0000 2.4750 As
2.2252 2.2252 0.0000 Br

=====

[4]
ZrBeAs2Br GGA-PBE relaxed; size of the total moment = 0.00 μB/cell; electronic total energy = -3.28 eV/atom; crystal system = tetragonal; uncorrected formation energy = 660 kJ/mol of formula units; distance to the lowest polymorph of the same formula = 5.85 eV/f.u.
1.0
5.1716 0.0000 0.0000
0.0000 5.1716 0.0000
0.0000 0.0000 4.9010
Zr Be As Br
1 1 2 1
Cartesian
0.0000 0.0000 0.0000 Zr
2.5858 2.5858 0.0000 Be
0.0000 2.5858 2.4505 As
2.5858 0.0000 2.4505 As
0.0000 0.0000 2.4505 Br

=====

[5]
BeAs2C2 GGA-PBE relaxed; size of the total moment = 0.00 μB/cell; electronic total energy = -5.25 eV/atom; ΔE_f = 1.047 eV/atom; crystal system = tetragonal; distance to the lowest polymorph of the same formula = 0.00 eV/f.u.
1.0
-2.7022 2.7022 2.4049
2.7022 -2.7022 2.4049
2.7022 2.7022 -2.4049
Be As C
1 2 2
Cartesian
0.0000 0.0000 0.0000 Be
2.7022 0.0000 1.2024 As
0.0000 2.7022 1.2024 As
0.0000 0.0000 1.7368 C
0.0000 0.0000 3.0730 C

=====

[6]
Be3AsC GGA-PBE relaxed; size of the total moment = 0.00 μB/cell; electronic total energy = -4.72 eV/atom; ΔE_f = 0.288 eV/atom; crystal system = cubic; distance to the lowest polymorph of the same formula = 0.00 eV/f.u.
1.0
3.6792 0.0000 0.0000
0.0000 3.6792 0.0000
0.0000 0.0000 3.6792
Be As C
3 1 1
Cartesian
0.0000 0.0000 1.8396 Be
0.0000 1.8396 0.0000 Be
1.8396 0.0000 0.0000 Be
1.8396 1.8396 1.8396 As
0.0000 0.0000 0.0000 C

=====

[7]
BeAsC3 GGA-PBE relaxed; size of the total moment = 0.00 μB/cell; electronic total energy = -4.73 eV/atom; ΔE_f = 2.478 eV/atom; crystal system = cubic; distance to the lowest polymorph of the same formula = 0.00 eV/f.u.
1.0
3.6650 0.0000 0.0000
0.0000 3.6650 0.0000
0.0000 0.0000 3.6650
Be As C
1 1 3
Cartesian
0.0000 0.0000 0.0000 Be
1.8325 1.8325 1.8325 As
0.0000 0.0000 1.8325 C
0.0000 1.8325 0.0000 C
1.8325 0.0000 0.0000 C

=====

[8]
BeAsC3 GGA-PBE relaxed; size of the total moment = 0.00 μB/cell; electronic total energy = -4.33 eV/atom; ΔE_f = 2.881 eV/atom; crystal system = cubic; distance to the lowest polymorph of the same formula = 2.01 eV/f.u.
1.0
3.8842 0.0000 0.0000
0.0000 3.8842 0.0000
0.0000 0.0000 3.8842
Be As C
1 1 3
Cartesian
0.0000 0.0000 0.0000 Be
1.9421 1.9421 1.9421 As
0.0000 1.9421 1.9421 C
1.9421 0.0000 1.9421 C
1.9421 1.9421 0.0000 C

=====

- Which of these has the lowest electronic total energy?
  BeAs2C2